No. 1
# NaLa2Cr

Crystalline NaLa2Cr at its relaxed geometry (PBE, Alexandria).

Distance to the lowest polymorph of the same formula in eV/atom: 0.000
Symmetry: Fm-3m, No. 225
N(E_F) in states/eV/atom: 1.6431
Magnetic moment in μB per atom: 0.0000
Energy of formation in eV/atom: 0.658
Total DFT energy (no corrections) in eV/cell: -18.2

abc: 5.268 5.268 5.268
angles: 60.00 60.00 60.00
Positions (direct):
Cr 0.500 0.500 0.500
Na 0.000 0.000 0.000
La 0.250 0.250 0.250
La 0.750 0.750 0.750

No. 2
# DyScInRh

Crystalline DyScInRh at its relaxed geometry (PBE, Alexandria).

Symmetry: F-43m, No. 216
N(E_F) in states/eV/atom: 0.5520
Magnetic moment in μB per atom: 0.0000
Energy of formation in eV/atom: -0.566
Total DFT energy (no corrections) in eV/cell: -23.3

abc: 4.958 4.958 4.958
angles: 60.00 60.00 60.00
Positions (direct):
Sc 0.000 0.000 0.000
In 0.250 0.250 0.250
Rh 0.750 0.750 0.750
Dy 0.500 0.500 0.500

No. 3
# Y3Cu2Au

Crystalline Y3Cu2Au at its relaxed geometry (PBE, Alexandria).

Symmetry: P4/mmm, No. 123
N(E_F) in states/eV/atom: 0.4813
Magnetic moment in μB per atom: 0.0000
Energy of formation in eV/atom: -0.448
Total DFT energy (no corrections) in eV/cell: -33.5

abc: 3.523 3.523 10.627
angles: 90.00 90.00 90.00
Positions (direct):
Y 0.000 0.000 0.000
Y 0.000 0.000 0.673
Y 0.000 0.000 0.327
Cu 0.500 0.500 0.838
Cu 0.500 0.500 0.162
Au 0.500 0.500 0.500

No. 4
# ScIn2FeSe

Crystalline ScIn2FeSe at its relaxed geometry (PBE, Alexandria).

Symmetry: P4/mmm, No. 123
N(E_F) in states/eV/atom: 1.0157
Magnetic moment in μB per atom: 0.4948
Total DFT energy (no corrections) in eV/cell: -22.9

abc: 5.096 5.096 4.520
angles: 90.00 90.00 90.00
Positions (direct):
Sc 0.500 0.500 0.500
Fe 0.000 0.000 0.000
Se 0.000 0.000 0.500
In 0.000 0.500 0.000
In 0.500 0.000 0.000

No. 5
# Er3Th5

Crystalline Er3Th5 at its relaxed geometry (PBE, Alexandria).

Symmetry: Pmmm, No. 47
N(E_F) in states/eV/atom: 1.3583
Magnetic moment in μB per atom: 0.0000
Energy of formation in eV/atom: 0.042
Total DFT energy (no corrections) in eV/cell: -50.5

abc: 5.049 5.025 10.010
angles: 90.00 90.00 90.00
Positions (direct):
Er 0.500 0.000 0.247
Er 0.500 0.500 0.500
Er 0.500 0.000 0.753
Th 0.000 0.000 0.000
Th 0.000 0.500 0.250
Th 0.000 0.000 0.500
Th 0.000 0.500 0.750
Th 0.500 0.500 0.000

No. 6
# CePa2S6

Crystalline CePa2S6 at its relaxed geometry (PBE, Alexandria).

Distance to the lowest polymorph of the same formula in eV/atom: 0.000
Symmetry: C2/c, No. 15
N(E_F) in states/eV/atom: 1.3635
Magnetic moment in μB per atom: 0.2318
Total DFT energy (no corrections) in eV/cell: -128.9

abc: 7.142 8.621 8.621
angles: 78.03 70.26 70.26
Positions (direct):
Ce 0.250 0.332 0.668
Ce 0.750 0.668 0.332
Pa 0.911 0.846 0.690
Pa 0.589 0.310 0.154
Pa 0.089 0.154 0.310
Pa 0.411 0.690 0.846
S 0.321 0.669 0.577
S 0.179 0.423 0.331
S 0.679 0.331 0.423
S 0.821 0.577 0.669
S 0.957 0.892 0.365
S 0.543 0.635 0.108
S 0.043 0.108 0.635
S 0.457 0.365 0.892
S 0.003 0.755 0.980
S 0.497 0.020 0.245
S 0.997 0.245 0.020
S 0.503 0.980 0.755

No. 7
# Pr5TmMg5

Crystalline Pr5TmMg5 at its relaxed geometry (PBE, Alexandria).

Symmetry: C2/m, No. 12
N(E_F) in states/eV/atom: 1.2545
Magnetic moment in μB per atom: 0.0044
Energy of formation in eV/atom: 0.130
Total DFT energy (no corrections) in eV/cell: -34.9

abc: 5.929 9.635 6.813
angles: 110.66 90.00 107.92
Positions (direct):
Pr 0.686 0.371 0.186
Pr 0.634 0.268 0.635
Pr 0.000 0.000 0.500
Pr 0.366 0.732 0.365
Pr 0.314 0.629 0.814
Tm 0.000 0.000 0.000
Mg 0.834 0.668 0.065
Mg 0.834 0.669 0.603
Mg 0.500 0.000 0.000
Mg 0.166 0.331 0.397
Mg 0.166 0.332 0.935

No. 8
# Ac6Pb5Br

Crystalline Ac6Pb5Br at its relaxed geometry (PBE, Alexandria).

Symmetry: C2/m, No. 12
N(E_F) in states/eV/atom: 0.8749
Magnetic moment in μB per atom: 0.0000
Total DFT energy (no corrections) in eV/cell: -52.4

abc: 8.315 8.360 8.425
angles: 60.26 80.25 70.04
Positions (direct):
Ac 0.746 0.086 0.333
Ac 0.254 0.582 0.333
Ac 0.249 0.250 0.000
Ac 0.751 0.750 0.000
Ac 0.746 0.418 0.667
Ac 0.254 0.914 0.667
Pb 0.500 0.164 0.673
Pb 0.000 0.333 0.335
Pb 0.500 0.500 0.000
Pb 0.000 0.667 0.665
Pb 0.500 0.836 0.327
Br 0.000 0.000 0.000

No. 9
# Mg2HgPd

Crystalline Mg2HgPd at its relaxed geometry (PBE, Alexandria).

Symmetry: P4/mmm, No. 123
N(E_F) in states/eV/atom: 0.2826
Magnetic moment in μB per atom: 0.0000
Energy of formation in eV/atom: -0.500
Total DFT energy (no corrections) in eV/cell: -10.7

abc: 3.293 3.293 6.822
angles: 90.00 90.00 90.00
Positions (direct):
Mg 0.000 0.000 0.777
Mg 0.000 0.000 0.223
Hg 0.500 0.500 0.500
Pd 0.500 0.500 0.000

No. 10
# CdIn2Ag

Crystalline CdIn2Ag at its relaxed geometry (PBE, Alexandria).

Symmetry: C2/m, No. 12
N(E_F) in states/eV/atom: 0.3359
Magnetic moment in μB per atom: 0.0000
Energy of formation in eV/atom: 0.028
Total DFT energy (no corrections) in eV/cell: -9.1

abc: 5.093 5.093 6.200
angles: 76.96 76.96 36.54
Positions (direct):
Cd 0.750 0.750 0.750
Ag 0.250 0.250 0.250
In 0.994 0.994 0.014
In 0.506 0.506 0.486

No. 11
# LiLaCoSn

Crystalline LiLaCoSn at its relaxed geometry (PBE, Alexandria).

Symmetry: F-43m, No. 216
N(E_F) in states/eV/atom: 0.9531
Magnetic moment in μB per atom: 0.2565
Energy of formation in eV/atom: -0.327
Total DFT energy (no corrections) in eV/cell: -19.3

abc: 4.794 4.794 4.794
angles: 60.00 60.00 60.00
Positions (direct):
Li 0.500 0.500 0.500
Co 0.000 0.000 0.000
Sn 0.250 0.250 0.250
La 0.750 0.750 0.750

No. 12
# CdIn2Hg2

Crystalline CdIn2Hg2 at its relaxed geometry (PBE, Alexandria).

Distance to the lowest polymorph of the same formula in eV/atom: 0.037
Symmetry: P4/mbm, No. 127
N(E_F) in states/eV/atom: 0.3769
Magnetic moment in μB per atom: 0.0000
Energy of formation in eV/atom: 0.052
Total DFT energy (no corrections) in eV/cell: -13.5

abc: 8.075 8.075 4.172
angles: 90.00 90.00 90.00
Positions (direct):
Cd 0.000 0.000 0.000
Cd 0.500 0.500 0.000
Hg 0.164 0.664 0.500
Hg 0.664 0.836 0.500
Hg 0.836 0.336 0.500
Hg 0.336 0.164 0.500
In 0.359 0.859 0.000
In 0.859 0.641 0.000
In 0.641 0.141 0.000
In 0.141 0.359 0.000